Compound: TbCe2Bi3
Source: Alexandria via LeMat-Bulk
Functional: PBE
Structure: relaxed

**DFT total energy**: -5.509 eV per atom
**Calculated volume**: 3227.8 Å³/cell

Cell: 9.1254 12.9109 27.3965 Å, 90.00 90.00 90.00°
Closest atoms and distances in Å follow each position.
Space group Fddd (No. 70, origin choice 2)
Inequivalent atoms, fractional coordinates:
1 Tb 0.1250 0.1250 0.0414 (multiplicity 16)  6 Bi 3.19-3.20
2 Ce 0.1250 0.1250 0.3756 (multiplicity 16)  6 Bi 3.23-3.24
3 Ce 0.1250 0.1250 0.5423 (multiplicity 16)  6 Bi 3.24-3.25
4 Bi 0.1200 0.3750 0.3750 (multiplicity 16)  2 Tb 3.20, 4 Ce 3.23-3.25
5 Bi 0.1228 0.3732 0.2091 (multiplicity 32)  2 Tb 3.19-3.20, 4 Ce 3.24-3.25